Entry 1:
A relaxed structure of LiY3Cd12, computed with PBE.

Output
* total magnetization: 0.00 μB/cell
* VASP energy: -36.230 eV per cell
* space-group type: No. 123

abc: 4.5569 4.5569 17.9655
angles: 90.00 90.00 90.00
Sites, in units of the cell vectors:
Cd 0.5000 0.0000 0.1123
Y 0.0000 0.0000 0.2383
Cd 0.5000 0.5000 0.0000
Cd 0.0000 0.5000 0.8877
Cd 0.5000 0.0000 0.6301
Cd 0.0000 0.5000 0.1123
Cd 0.5000 0.5000 0.2367
Cd 0.5000 0.5000 0.5000
Li 0.0000 0.0000 0.0000
Cd 0.5000 0.0000 0.8877
Cd 0.5000 0.0000 0.3699
Cd 0.5000 0.5000 0.7633
Cd 0.0000 0.5000 0.6301
Y 0.0000 0.0000 0.7617
Y 0.0000 0.0000 0.5000
Cd 0.0000 0.5000 0.3699

---

Entry 2:
A relaxed structure of LiY4Cd5, computed with PBE.

Output
* total magnetization: 0.00 μB/cell
* VASP energy: -35.531 eV per cell
* space-group type: No. 123

abc: 3.6751 3.6751 18.5736
angles: 90.00 90.00 90.00
Sites, in units of the cell vectors:
Cd 0.5000 0.5000 0.0845
Cd 0.5000 0.5000 0.9155
Y 0.0000 0.0000 0.1904
Y 0.0000 0.0000 0.6035
Y 0.0000 0.0000 0.3965
Cd 0.5000 0.5000 0.5000
Y 0.0000 0.0000 0.8096
Cd 0.5000 0.5000 0.2939
Li 0.0000 0.0000 0.0000
Cd 0.5000 0.5000 0.7061

---

Entry 3:
A relaxed structure of LiY4Cd, computed with PBE.

Output
* total magnetization: 0.00 μB/cell
* VASP energy: -27.002 eV per cell
* energy above the most stable polymorph in this dataset: 0.000 eV/atom
* space-group type: No. 123

abc: 5.1050 5.1054 7.3531
angles: 89.98 89.98 90.00
Sites, in units of the cell vectors:
Y 0.5012 0.9969 0.2455
Cd 0.5013 0.4973 0.9982
Y 0.5014 0.9974 0.7506
Y 0.0012 0.4971 0.2455
Li 0.0012 0.9976 0.4983
Y 0.0015 0.4974 0.7506

---

Entry 4:
A relaxed structure of LiY2Cd4, computed with PBE.

Output
* total magnetization: 0.00 μB/cell
* VASP energy: -19.703 eV per cell
* space-group type: No. 166

abc: 5.1855 5.1855 7.7858
angles: 70.55 70.55 60.00
Sites, in units of the cell vectors:
Cd 0.4268 0.4268 0.7196
Y 0.7210 0.7210 0.8370
Li 0.0000 0.0000 0.0000
Cd 0.1272 0.1272 0.6185
Cd 0.5732 0.5732 0.2804
Cd 0.8728 0.8728 0.3815
Y 0.2790 0.2790 0.1630

---

Entry 5:
A relaxed structure of LiY3Cd2, computed with PBE.

Output
* total magnetization: 0.01 μB/cell
* VASP energy: -24.330 eV per cell
* energy above the most stable polymorph in this dataset: 0.013 eV/atom
* space-group type: No. 123

abc: 3.7541 3.7541 11.1792
angles: 90.00 90.00 90.00
Sites, in units of the cell vectors:
Li 0.5000 0.5000 0.5000
Y 0.0000 0.0000 0.0000
Cd 0.5000 0.5000 0.8309
Y 0.0000 0.0000 0.3322
Y 0.0000 0.0000 0.6678
Cd 0.5000 0.5000 0.1691

---

Entry 6:
A relaxed structure of Li3YCd3, computed with PBE.

Output
* total magnetization: 0.00 μB/cell
* VASP energy: -26.915 eV per cell
* space-group type: No. 223

abc: 6.9557 6.9557 6.9557
angles: 90.00 90.00 90.00
Sites, in units of the cell vectors:
Cd 0.2500 0.0000 0.5000
Cd 0.0000 0.5000 0.7500
Cd 0.0000 0.5000 0.2500
Li 0.5000 0.0000 0.2500
Y 0.5000 0.5000 0.5000
Li 0.5000 0.0000 0.7500
Cd 0.5000 0.2500 0.0000
Li 0.0000 0.2500 0.5000
Li 0.0000 0.7500 0.5000
Cd 0.7500 0.0000 0.5000
Li 0.2500 0.5000 0.0000
Li 0.7500 0.5000 0.0000
Cd 0.5000 0.7500 0.0000
Y 0.0000 0.0000 0.0000

---

Entry 7:
A relaxed structure of Li5Zn2Cd, computed with PBE.

Output
* total magnetization: 0.00 μB/cell
* VASP energy: -14.372 eV per cell
* energy above the most stable polymorph in this dataset: 0.000 eV/atom
* space-group type: No. 139

abc: 4.0569 4.0569 8.5499
angles: 103.72 103.72 90.00
Sites, in units of the cell vectors:
Li 0.1331 0.6331 0.2663
Cd 0.0000 0.0000 0.0000
Li 0.8669 0.3669 0.7337
Zn 0.2513 0.2513 0.5026
Zn 0.7487 0.7487 0.4974
Li 0.5000 0.5000 0.0000
Li 0.3669 0.8669 0.7337
Li 0.6331 0.1331 0.2663

---

Entry 8:
A relaxed structure of Li2ZnCd5, computed with PBE.

Output
* total magnetization: 0.00 μB/cell
* VASP energy: -21.517 eV per cell
* energy above the most stable polymorph in this dataset: 0.000 eV/atom
* space-group type: No. 55

abc: 4.4485 5.9454 11.8422
angles: 90.00 90.00 90.00
Sites, in units of the cell vectors:
Cd 0.0000 0.0383 0.2563
Li 0.5000 0.7197 0.6282
Li 0.5000 0.7803 0.1282
Cd 0.0000 0.5383 0.2437
Cd 0.0000 0.9617 0.7437
Cd 0.5000 0.2841 0.1170
Li 0.5000 0.2197 0.8718
Li 0.5000 0.2803 0.3718
Cd 0.5000 0.7841 0.3830
Cd 0.0000 0.4617 0.7563
Zn 0.0000 0.5000 0.0000
Cd 0.5000 0.2159 0.6170
Cd 0.5000 0.7159 0.8830
Cd 0.0000 0.5000 0.5000
Zn 0.0000 0.0000 0.5000
Cd 0.0000 0.0000 0.0000

---

Entry 9:
A relaxed structure of Li4Zn2Cd5, computed with PBE.

Output
* total magnetization: 0.00 μB/cell
* VASP energy: -16.652 eV per cell
* energy above the most stable polymorph in this dataset: 0.000 eV/atom
* space-group type: No. 12

abc: 4.3929 9.9174 5.1978
angles: 79.31 115.00 90.00
Sites, in units of the cell vectors:
Zn 0.4089 0.6331 0.8178
Li 0.0561 0.1833 0.1121
Cd 0.2240 0.8943 0.4480
Cd 0.5000 0.0000 0.0000
Li 0.3258 0.2817 0.6516
Cd 0.1330 0.5523 0.2659
Li 0.9439 0.8167 0.8879
Li 0.6742 0.7183 0.3484
Cd 0.7760 0.1057 0.5520
Zn 0.5911 0.3669 0.1822
Cd 0.8670 0.4477 0.7341

---

Entry 10:
A relaxed structure of Li8ZnCd2, computed with PBE.

Output
* total magnetization: 0.00 μB/cell
* VASP energy: -20.029 eV per cell
* energy above the most stable polymorph in this dataset: 0.000 eV/atom
* space-group type: No. 12

abc: 4.4472 5.9640 7.7932
angles: 99.07 106.58 90.00
Sites, in units of the cell vectors:
Li 0.9643 0.2574 0.9286
Li 0.1466 0.1690 0.2932
Li 0.8534 0.8310 0.7068
Li 0.4051 0.5585 0.8102
Cd 0.2182 0.6467 0.4364
Li 0.3269 0.0945 0.6537
Cd 0.7818 0.3533 0.5636
Li 0.5949 0.4415 0.1898
Li 0.6731 0.9055 0.3463
Zn 0.5000 0.0000 0.0000
Li 0.0357 0.7426 0.0714

---

Entry 11:
A relaxed structure of LiZn9Cd2, computed with PBE.

Output
* total magnetization: 0.00 μB/cell
* VASP energy: -15.635 eV per cell
* space-group type: No. 166

abc: 5.1941 5.1941 9.0863
angles: 73.39 73.39 60.00
Sites, in units of the cell vectors:
Zn 0.5000 0.5000 0.5000
Zn 0.9192 0.4155 0.2497
Li 0.0000 0.0000 0.0000
Zn 0.0808 0.5845 0.7503
Zn 0.5845 0.5845 0.7503
Zn 0.5845 0.0808 0.7503
Zn 0.6668 0.6668 0.9997
Cd 0.1369 0.1369 0.5892
Zn 0.4155 0.4155 0.2497
Cd 0.8631 0.8631 0.4108
Zn 0.4155 0.9192 0.2497
Zn 0.3332 0.3332 0.0003

---

Entry 12:
A relaxed structure of LiZnCd, computed with PBE.

Output
* total magnetization: 0.00 μB/cell
* VASP energy: -4.558 eV per cell
* energy above the most stable polymorph in this dataset: 0.000 eV/atom
* space-group type: No. 44

abc: 5.0047 5.0047 5.0047
angles: 144.14 134.43 59.30
Sites, in units of the cell vectors:
Li 0.3285 0.3285 0.0000
Cd 0.9987 0.9987 0.0000
Zn 0.6727 0.6727 0.0000

---

Entry 13:
A relaxed structure of Li2ZnCd2, computed with PBE.

Output
* total magnetization: 0.00 μB/cell
* VASP energy: -14.915 eV per cell
* energy above the most stable polymorph in this dataset: 0.070 eV/atom
* space-group type: No. 127

abc: 7.5316 7.5316 3.2659
angles: 90.00 90.00 90.00
Sites, in units of the cell vectors:
Li 0.1573 0.6573 0.5000
Zn 0.0000 0.0000 0.0000
Cd 0.3581 0.8581 0.0000
Cd 0.1419 0.3581 0.0000
Li 0.8427 0.3427 0.5000
Cd 0.8581 0.6419 0.0000
Li 0.6573 0.8427 0.5000
Li 0.3427 0.1573 0.5000
Zn 0.5000 0.5000 0.0000
Cd 0.6419 0.1419 0.0000

---

Entry 14:
A relaxed structure of Li2ZnCd2, computed with PBE.

Output
* total magnetization: 0.00 μB/cell
* VASP energy: -15.339 eV per cell
* energy above the most stable polymorph in this dataset: 0.027 eV/atom
* space-group type: No. 72

abc: 5.0593 5.5813 7.4546
angles: 111.98 109.84 90.00
Sites, in units of the cell vectors:
Li 0.9043 0.7697 0.8086
Cd 0.1870 0.8483 0.3741
Zn 0.2500 0.5000 0.0000
Li 0.4043 0.0389 0.8086
Zn 0.7500 0.5000 0.0000
Li 0.0957 0.2303 0.1914
Li 0.5957 0.9611 0.1914
Cd 0.3130 0.4742 0.6259
Cd 0.6870 0.5258 0.3741
Cd 0.8130 0.1517 0.6259

---

Entry 15:
A relaxed structure of LiZn4Cd, computed with PBE.

Output
* total magnetization: 0.00 μB/cell
* VASP energy: -8.548 eV per cell
* space-group type: No. 216

abc: 5.1701 5.1701 5.1701
angles: 60.00 60.00 60.00
Sites, in units of the cell vectors:
Zn 0.6253 0.6253 0.1242
Li 0.0000 0.0000 0.0000
Zn 0.6253 0.1242 0.6253
Zn 0.1242 0.6253 0.6253
Cd 0.2500 0.2500 0.2500
Zn 0.6253 0.6253 0.6253

---

Entry 16:
A relaxed structure of Li8ZnCd2, computed with PBE.

Output
* total magnetization: 0.00 μB/cell
* VASP energy: -19.511 eV per cell
* energy above the most stable polymorph in this dataset: 0.047 eV/atom
* space-group type: No. 12

abc: 7.4970 5.7588 5.7588
angles: 56.18 89.84 89.84
Sites, in units of the cell vectors:
Li 0.3103 0.8200 0.3159
Li 0.3103 0.3159 0.8200
Li 0.6897 0.6841 0.1800
Cd 0.7243 0.1777 0.1777
Li 0.0385 0.3376 0.3376
Li 0.9615 0.6624 0.6624
Li 0.6897 0.1800 0.6841
Li 0.5958 0.6904 0.6904
Li 0.4042 0.3096 0.3096
Zn 0.0000 0.0000 0.0000
Cd 0.2757 0.8223 0.8223

---

Entry 17:
A relaxed structure of Li2ZnCd, computed with PBE.

Output
* total magnetization: 0.00 μB/cell
* VASP energy: -6.775 eV per cell
* space-group type: No. 65

abc: 4.5002 4.5002 3.2975
angles: 90.00 90.00 90.18
Sites, in units of the cell vectors:
Zn 0.5000 0.0000 0.5000
Li 0.5000 0.5000 0.0000
Li 0.0000 0.0000 0.0000
Cd 0.0000 0.5000 0.5000

---

Entry 18:
A relaxed structure of Li2ZnCd, computed with PBE.

Output
* total magnetization: 0.00 μB/cell
* VASP energy: -6.766 eV per cell
* space-group type: No. 8

abc: 5.2848 5.2848 4.5492
angles: 65.05 65.05 36.08
Sites, in units of the cell vectors:
Cd 0.7521 0.7521 0.7488
Li 0.2405 0.2405 0.2601
Li 0.9989 0.9989 0.0002
Zn 0.5084 0.5084 0.4909

---

Entry 19:
A relaxed structure of Li2Zn3Cd4, computed with PBE.

Output
* total magnetization: 0.00 μB/cell
* VASP energy: -12.256 eV per cell
* space-group type: No. 2

abc: 4.6192 4.6774 8.4978
angles: 88.74 90.02 60.44
Sites, in units of the cell vectors:
Li 0.6749 0.6521 0.2254
Li 0.3251 0.3479 0.7746
Cd 0.9897 0.0185 0.6724
Zn 0.0000 0.0000 0.0000
Cd 0.0103 0.9815 0.3276
Zn 0.6613 0.6757 0.5536
Cd 0.3368 0.3273 0.1118
Cd 0.6632 0.6727 0.8882
Zn 0.3387 0.3243 0.4464

---

Entry 20:
A relaxed structure of Li5ZnCd4, computed with PBE.

Output
* total magnetization: 0.00 μB/cell
* VASP energy: -16.792 eV per cell
* space-group type: No. 123

abc: 3.3148 3.3148 16.0750
angles: 90.00 90.00 90.00
Sites, in units of the cell vectors:
Li 0.5000 0.5000 0.0893
Zn 0.0000 0.0000 0.0000
Li 0.5000 0.5000 0.5000
Li 0.5000 0.5000 0.2947
Cd 0.0000 0.0000 0.8088
Cd 0.0000 0.0000 0.3976
Li 0.5000 0.5000 0.7053
Cd 0.0000 0.0000 0.1912
Cd 0.0000 0.0000 0.6024
Li 0.5000 0.5000 0.9107